# 1
Entry from Alexandria via LeMat-Bulk: crystalline Ca3YNb at its relaxed geometry (PBE-GGA).

Calculated values
- E_form (eV/atom) = 1.673
- magnetization (Bohr magnetons per cell) = 0.82
- SG = No. 221
- DOS at the Fermi energy (states/eV/f.u.) = 11.015

a b c (Å): 5.5978 5.5978 5.5978
angles (deg): 90.00 90.00 90.00
Fractional coordinates of all 5 atoms:
Y  0.0000  0.0000  0.0000
Nb  0.5000  0.5000  0.5000
Ca  0.0000  0.5000  0.0000
Ca  0.0000  0.0000  0.5000
Ca  0.5000  0.0000  0.0000

---

# 2
Entry from Alexandria via LeMat-Bulk: crystalline CaY2Nb at its relaxed geometry (PBE-GGA).

Calculated values
- E_form (eV/atom) = 1.356
- magnetization (Bohr magnetons per cell) = 0.00
- SG = No. 141
- DOS at the Fermi energy (states/eV/f.u.) = 5.254

a b c (Å): 6.9590 6.9590 9.0080
angles (deg): 67.28 67.28 90.00
Fractional coordinates of all 8 atoms:
Y  0.8748  0.1250  0.2500
Y  0.8752  0.6250  0.2500
Y  0.3750  0.1252  0.7500
Y  0.8750  0.1248  0.7500
Nb  0.0000  0.0000  0.0000
Nb  0.7500  0.2500  0.5000
Ca  0.5000  0.5000  0.0000
Ca  0.2500  0.7500  0.5000

---

# 3
Entry from Alexandria via LeMat-Bulk: crystalline CaY2Nb at its relaxed geometry (PBE-GGA).

Calculated values
- E_form (eV/atom) = 0.384
- magnetization (Bohr magnetons per cell) = 3.43
- SG = No. 225
- DOS at the Fermi energy (states/eV/f.u.) = 3.548

a b c (Å): 5.4617 5.4617 5.4617
angles (deg): 60.00 60.00 60.00
Fractional coordinates of all 4 atoms:
Y  0.2500  0.2500  0.2500
Y  0.7500  0.7500  0.7500
Nb  0.5000  0.5000  0.5000
Ca  0.0000  0.0000  0.0000

---

# 4
Entry from Alexandria via LeMat-Bulk: crystalline Ca3YNb at its relaxed geometry (PBE-GGA).

Calculated values
- E_form (eV/atom) = 0.868
- magnetization (Bohr magnetons per cell) = 1.67
- SG = No. 221
- DOS at the Fermi energy (states/eV/f.u.) = 5.827

a b c (Å): 5.6598 5.6598 5.6598
angles (deg): 90.00 90.00 90.00
Fractional coordinates of all 5 atoms:
Y  0.5000  0.5000  0.5000
Nb  0.0000  0.0000  0.0000
Ca  0.0000  0.5000  0.0000
Ca  0.0000  0.0000  0.5000
Ca  0.5000  0.0000  0.0000

---

# 5
Entry from Alexandria via LeMat-Bulk: crystalline CaNb2Zn2 at its relaxed geometry (PBE-GGA).

Calculated values
- E_form (eV/atom) = 0.495
- magnetization (Bohr magnetons per cell) = 0.96
- SG = No. 139
- DOS at the Fermi energy (states/eV/f.u.) = 4.652

a b c (Å): 4.3056 4.3056 6.5491
angles (deg): 70.81 70.81 90.00
Fractional coordinates of all 5 atoms:
Nb  0.3949  0.3949  0.2102
Nb  0.6051  0.6051  0.7898
Ca  0.0000  0.0000  0.0000
Zn  0.7500  0.2500  0.5000
Zn  0.2500  0.7500  0.5000

---

# 6
Entry from Alexandria via LeMat-Bulk: crystalline Ca2NbZn at its relaxed geometry (PBE-GGA).

Calculated values
- E_form (eV/atom) = 0.676
- magnetization (Bohr magnetons per cell) = 5.94
- SG = No. 122
- DOS at the Fermi energy (states/eV/f.u.) = 2.250

a b c (Å): 8.3338 8.3338 6.6272
angles (deg): 51.04 51.04 90.00
Fractional coordinates of all 8 atoms:
Nb  0.0000  0.0000  0.0000
Nb  0.7500  0.2500  0.5000
Ca  0.5917  0.1250  0.2500
Ca  0.1583  0.6250  0.2500
Ca  0.3750  0.4083  0.7500
Ca  0.8750  0.8417  0.7500
Zn  0.5000  0.5000  0.0000
Zn  0.2500  0.7500  0.5000